Entry 1:
Material: K16TlCd12
Method: DFT, PBE
State: relaxed

a = 11.073 Å, b = 11.073 Å, c = 11.192 Å
α = 106.55°, β = 106.55°, γ = 105.16°
Atoms (fractional coordinates):
K  0.000  0.000  0.000
K  0.001  0.669  0.791
K  0.011  0.011  0.377
K  0.015  0.433  0.038
K  0.020  0.643  0.386
K  0.287  0.287  0.060
K  0.318  0.690  0.677
K  0.323  0.323  0.669
K  0.387  0.641  0.021
K  0.433  0.015  0.038
K  0.451  0.668  0.407
K  0.641  0.387  0.021
K  0.643  0.020  0.386
K  0.668  0.451  0.407
K  0.669  0.001  0.791
K  0.690  0.318  0.677
Tl  0.654  0.654  0.789
Cd  0.150  0.329  0.338
Cd  0.174  0.990  0.708
Cd  0.193  0.832  0.203
Cd  0.329  0.150  0.338
Cd  0.339  0.981  0.527
Cd  0.701  0.879  0.071
Cd  0.720  0.720  0.262
Cd  0.832  0.193  0.203
Cd  0.854  0.854  0.577
Cd  0.879  0.701  0.071
Cd  0.981  0.339  0.527
Cd  0.990  0.174  0.708

Summary:
formation energy: -0.84 eV per formula unit
spin magnetization: 0.000 μB/cell
uncorrected energy: -1.09 eV/atom

---

Entry 2:
Material: K3Tl7Cd2
Method: DFT, PBE
State: relaxed

a = 11.004 Å, b = 11.004 Å, c = 11.004 Å
α = 35.66°, β = 35.66°, γ = 35.66°
Atoms (fractional coordinates):
K  0.000  0.000  0.000
K  0.141  0.141  0.141
K  0.859  0.859  0.859
Tl  0.074  0.584  0.584
Tl  0.416  0.416  0.926
Tl  0.416  0.926  0.416
Tl  0.500  0.500  0.500
Tl  0.584  0.074  0.584
Tl  0.584  0.584  0.074
Tl  0.926  0.416  0.416
Cd  0.336  0.336  0.336
Cd  0.664  0.664  0.664

Summary:
formation energy: -0.88 eV per formula unit
spin magnetization: 0.000 μB/cell
uncorrected energy: -1.88 eV/atom

---

Entry 3:
Material: K4TlCd4
Method: DFT, PBE
State: relaxed

a = 10.141 Å, b = 10.141 Å, c = 6.809 Å
α = 90.00°, β = 90.00°, γ = 90.00°
Atoms (fractional coordinates):
K  0.068  0.665  0.119
K  0.165  0.932  0.619
K  0.335  0.568  0.619
K  0.432  0.835  0.119
K  0.568  0.165  0.881
K  0.665  0.432  0.381
K  0.835  0.068  0.381
K  0.932  0.335  0.881
Tl  0.250  0.250  0.750
Tl  0.750  0.750  0.250
Cd  0.089  0.332  0.383
Cd  0.168  0.089  0.117
Cd  0.332  0.411  0.117
Cd  0.411  0.168  0.383
Cd  0.589  0.832  0.617
Cd  0.668  0.589  0.883
Cd  0.832  0.911  0.883
Cd  0.911  0.668  0.617

Summary:
formation energy: -0.22 eV per formula unit
spin magnetization: 0.000 μB/cell
uncorrected energy: -1.18 eV/atom

---

Entry 4:
Material: K2TlCd
Method: DFT, PBE
State: relaxed

a = 5.407 Å, b = 5.407 Å, c = 5.275 Å
α = 90.00°, β = 90.00°, γ = 90.00°
Atoms (fractional coordinates):
K  0.000  0.500  0.000
K  0.500  0.000  0.000
Tl  0.000  0.000  0.500
Cd  0.500  0.500  0.500

Summary:
formation energy: 0.06 eV per formula unit
spin magnetization: 0.000 μB/cell
uncorrected energy: -1.35 eV/atom

---

Entry 5:
Material: KTl2Cd10
Method: DFT, PBE
State: relaxed

a = 10.381 Å, b = 8.082 Å, c = 7.924 Å
α = 80.86°, β = 50.23°, γ = 48.90°
Atoms (fractional coordinates):
K  0.000  0.000  0.000
Tl  0.000  0.500  0.000
Tl  0.500  0.000  0.500
Cd  0.000  0.000  0.500
Cd  0.014  0.641  0.359
Cd  0.288  0.506  0.494
Cd  0.359  0.986  0.014
Cd  0.494  0.712  0.288
Cd  0.500  0.500  0.000
Cd  0.506  0.288  0.712
Cd  0.641  0.014  0.986
Cd  0.712  0.494  0.506
Cd  0.986  0.359  0.641

Summary:
formation energy: 0.12 eV per formula unit
spin magnetization: 0.000 μB/cell
uncorrected energy: -1.14 eV/atom

---

Entry 6:
Material: K2TlCd
Method: DFT, PBE
State: relaxed

a = 4.128 Å, b = 4.128 Å, c = 9.831 Å
α = 90.00°, β = 90.00°, γ = 90.00°
Atoms (fractional coordinates):
K  0.000  0.000  0.000
K  0.500  0.500  0.385
Tl  0.000  0.000  0.623
Cd  0.500  0.500  0.768

Summary:
formation energy: -0.16 eV per formula unit
spin magnetization: 0.000 μB/cell
uncorrected energy: -1.41 eV/atom

---

Entry 7:
Material: K2TlCd
Method: DFT, PBE
State: relaxed

a = 5.402 Å, b = 5.402 Å, c = 7.142 Å
α = 112.01°, β = 112.01°, γ = 59.83°
Atoms (fractional coordinates):
K  0.000  0.000  0.000
K  0.206  0.206  0.623
Tl  0.769  0.769  0.311
Cd  0.437  0.437  0.312

Summary:
formation energy: -0.30 eV per formula unit
spin magnetization: 0.000 μB/cell
uncorrected energy: -1.44 eV/atom

---

Entry 8:
Material: K4TlCd2
Method: DFT, PBE
State: relaxed

a = 7.429 Å, b = 8.321 Å, c = 11.123 Å
α = 75.10°, β = 74.97°, γ = 65.77°
Atoms (fractional coordinates):
K  0.008  0.273  0.207
K  0.036  0.767  0.141
K  0.469  0.736  0.353
K  0.491  0.230  0.289
K  0.509  0.770  0.711
K  0.531  0.264  0.647
K  0.964  0.233  0.859
K  0.992  0.727  0.793
Tl  0.100  0.104  0.545
Tl  0.900  0.896  0.455
Cd  0.000  0.500  0.500
Cd  0.414  0.391  0.964
Cd  0.500  0.000  0.000
Cd  0.586  0.609  0.036

Summary:
formation energy: -0.39 eV per formula unit
spin magnetization: 0.000 μB/cell
E above lowest polymorph: 0.0 meV per atom
uncorrected energy: -1.28 eV/atom

---

Entry 9:
Material: K3Tl9Cd2
Method: DFT, PBE
State: relaxed

a = 9.861 Å, b = 9.861 Å, c = 9.861 Å
α = 148.89°, β = 106.13°, γ = 82.30°
Atoms (fractional coordinates):
K  0.000  0.000  0.000
K  0.304  0.304  0.000
K  0.696  0.696  0.000
Tl  0.028  0.664  0.364
Tl  0.146  0.869  0.277
Tl  0.300  0.664  0.636
Tl  0.408  0.131  0.277
Tl  0.500  0.000  0.500
Tl  0.592  0.869  0.723
Tl  0.700  0.336  0.364
Tl  0.854  0.131  0.723
Tl  0.972  0.336  0.636
Cd  0.314  0.500  0.814
Cd  0.686  0.500  0.186

Summary:
formation energy: -0.80 eV per formula unit
spin magnetization: 0.000 μB/cell
uncorrected energy: -1.94 eV/atom

---

Entry 10:
Material: KTl3Cd
Method: DFT, PBE
State: relaxed

a = 5.801 Å, b = 5.801 Å, c = 5.801 Å
α = 90.00°, β = 90.00°, γ = 90.00°
Atoms (fractional coordinates):
K  0.000  0.000  0.000
Tl  0.000  0.500  0.500
Tl  0.500  0.000  0.500
Tl  0.500  0.500  0.000
Cd  0.500  0.500  0.500

Summary:
formation energy: 0.62 eV per formula unit
spin magnetization: 0.000 μB/cell
E above lowest polymorph: 183.9 meV per atom
uncorrected energy: -1.70 eV/atom

---

Entry 11:
Material: K2TlCd
Method: DFT, PBE
State: relaxed

a = 6.189 Å, b = 6.189 Å, c = 4.231 Å
α = 90.22°, β = 90.22°, γ = 105.66°
Atoms (fractional coordinates):
K  0.000  0.500  0.000
K  0.500  0.000  0.000
Tl  0.000  0.000  0.500
Cd  0.500  0.500  0.500

Summary:
formation energy: 0.06 eV per formula unit
spin magnetization: 0.000 μB/cell
uncorrected energy: -1.36 eV/atom

---

Entry 12:
Material: K2TlCd3
Method: DFT, PBE
State: relaxed

a = 6.636 Å, b = 6.636 Å, c = 8.641 Å
α = 129.93°, β = 129.93°, γ = 47.57°
Atoms (fractional coordinates):
K  0.000  0.000  0.000
K  0.507  0.507  0.375
Tl  0.185  0.185  0.783
Cd  0.328  0.328  0.590
Cd  0.678  0.678  0.957
Cd  0.826  0.826  0.418

Summary:
formation energy: -0.56 eV per formula unit
spin magnetization: 0.000 μB/cell
uncorrected energy: -1.31 eV/atom